CsTiSe2N | the Alexandria database | GGA-PBE | optimized geometry; symmetry = P4/mmm, No. 123; E above lowest polymorph = 0.000 eV/atom; formation energy from raw total energies = -1.9 eV per formula unit; calculated total energy = -25.91 eV per cell; size of the total moment = 1.8 Bohr magnetons per cell; Fermi-level density of states = 3.2 states/eV per cell
1.0
-3.749 2.332 -3.061
-1.565 -4.828 -1.762
-2.645 -0.254 3.045
Ti Se Cs N
1 2 1 1
Direct
0.000 0.000 0.000
0.500 0.000 0.000
0.000 0.500 0.000
0.500 0.500 0.500
0.000 0.000 0.500



CsTiSe2N | the Alexandria database | GGA-PBE | optimized geometry; symmetry = P4/mmm, No. 123; E above lowest polymorph = 2.252 eV/atom; formation energy from raw total energies = 9.4 eV per formula unit; calculated total energy = -14.65 eV per cell; size of the total moment = 0.0 Bohr magnetons per cell; Fermi-level density of states = 10.6 states/eV per cell
1.0
5.703 0.000 0.000
0.000 5.703 0.000
0.000 0.000 4.265
Cs Se Ti N
1 2 1 1
Direct
0.000 0.000 0.000
0.500 0.000 0.000
0.000 0.500 0.000
0.500 0.500 0.500
0.000 0.000 0.500



CsVSe2N | the Alexandria database | GGA-PBE | optimized geometry; symmetry = P4/mmm, No. 123; E above lowest polymorph = 0.000 eV/atom; formation energy from raw total energies = -0.8 eV per formula unit; calculated total energy = -26.11 eV per cell; size of the total moment = 0.4 Bohr magnetons per cell; Fermi-level density of states = 3.8 states/eV per cell
1.0
5.421 0.000 0.000
0.000 5.421 0.000
0.000 0.000 3.742
V Cs Se N
1 1 2 1
Direct
0.000 0.000 0.000
0.500 0.500 0.500
0.500 0.000 0.000
0.000 0.500 0.000
0.000 0.000 0.500



CsVSe2N | the Alexandria database | GGA-PBE | optimized geometry; symmetry = P4/mmm, No. 123; E above lowest polymorph = 2.441 eV/atom; formation energy from raw total energies = 11.4 eV per formula unit; calculated total energy = -13.90 eV per cell; size of the total moment = 0.1 Bohr magnetons per cell; Fermi-level density of states = 13.0 states/eV per cell
1.0
-2.899 4.085 2.825
-3.110 1.058 -4.720
-2.862 -2.887 1.239
V N Se Cs
1 1 2 1
Direct
0.500 0.500 0.500
0.000 0.000 0.500
0.500 0.000 0.000
0.000 0.500 0.000
0.000 0.000 0.000



CsYSe2N | the Alexandria database | GGA-PBE | optimized geometry; symmetry = P4/mmm, No. 123; formation energy from raw total energies = 5.0 eV per formula unit; calculated total energy = -17.62 eV per cell; size of the total moment = 0.8 Bohr magnetons per cell; Fermi-level density of states = 4.7 states/eV per cell
1.0
5.806 0.000 0.000
0.000 5.806 0.000
0.000 0.000 4.365
Cs N Y Se
1 1 1 2
Direct
0.000 0.000 0.000
0.000 0.000 0.500
0.500 0.500 0.500
0.000 0.500 0.000
0.500 0.000 0.000



CsZrSeN2 | the Alexandria database | GGA-PBE | optimized geometry; symmetry = P4/mmm, No. 123; E above lowest polymorph = 1.941 eV/atom; formation energy from raw total energies = 9.9 eV per formula unit; calculated total energy = -19.62 eV per cell; size of the total moment = 0.1 Bohr magnetons per cell; Fermi-level density of states = 3.9 states/eV per cell
1.0
-2.118 -3.656 0.365
0.982 -0.157 4.123
-5.102 3.088 1.332
N Se Zr Cs
2 1 1 1
Direct
0.500 0.000 0.000
0.000 0.500 0.000
0.000 0.000 0.500
0.500 0.500 0.500
0.000 0.000 0.000



CsZrSe2N | the Alexandria database | GGA-PBE | optimized geometry; symmetry = P4/mmm, No. 123; E above lowest polymorph = 2.206 eV/atom; formation energy from raw total energies = 8.2 eV per formula unit; calculated total energy = -16.49 eV per cell; size of the total moment = 0.9 Bohr magnetons per cell; Fermi-level density of states = 5.5 states/eV per cell
1.0
-1.678 1.956 -5.078
-5.314 -1.735 1.087
-0.875 3.771 1.742
Se Cs Zr N
2 1 1 1
Direct
0.500 0.000 0.000
0.000 0.500 0.000
0.000 0.000 0.000
0.500 0.500 0.500
0.000 0.000 0.500



CsZrSeN2 | the Alexandria database | GGA-PBE | optimized geometry; symmetry = P4/mmm, No. 123; E above lowest polymorph = 0.000 eV/atom; formation energy from raw total energies = 0.2 eV per formula unit; calculated total energy = -29.32 eV per cell; size of the total moment = 3.0 Bohr magnetons per cell; Fermi-level density of states = 1.6 states/eV per cell
1.0
4.586 0.000 0.000
0.000 4.586 0.000
0.000 0.000 5.356
Zr Cs N Se
1 1 2 1
Direct
0.000 0.000 0.000
0.500 0.500 0.500
0.000 0.500 0.000
0.500 0.000 0.000
0.000 0.000 0.500



What did the sixth record say?
CsZrSeN2 | the Alexandria database | GGA-PBE | optimized geometry; symmetry = P4/mmm, No. 123; E above lowest polymorph = 1.941 eV/atom; formation energy from raw total energies = 9.9 eV per formula unit; calculated total energy = -19.62 eV per cell; size of the total moment = 0.1 Bohr magnetons per cell; Fermi-level density of states = 3.9 states/eV per cell
1.0
-2.118 -3.656 0.365
0.982 -0.157 4.123
-5.102 3.088 1.332
N Se Zr Cs
2 1 1 1
Direct
0.500 0.000 0.000
0.000 0.500 0.000
0.000 0.000 0.500
0.500 0.500 0.500
0.000 0.000 0.000



Q: Fermi-level density of states of number 6 (CsZrSeN2)?
A: 3.9 states/eV per cell



Q: Which of these has the lowest size of the total moment?
A: number 2



Q: Look up the Fermi-level density of states of the fourth one.
A: 13.0 states/eV per cell